# 1
# As2AuCl, optimized geometry, DFT PBE-GGA
data_As2AuCl
_chemical_formula_sum 'As2 Au1 Cl1'
_cell_length_a 4.836
_cell_length_b 3.632
_cell_length_c 6.685
_cell_angle_alpha 90.00
_cell_angle_beta 100.32
_cell_angle_gamma 90.00
_space_group_name_H-M_alt 'P 1 m 1'
_space_group_IT_number 6
loop_
_space_group_symop_operation_xyz
'x,y,z'
'x,-y,z'
loop_
_atom_site_label
_atom_site_type_symbol
_atom_site_fract_x
_atom_site_fract_y
_atom_site_fract_z
_atom_site_occupancy
As1 As 0.000 0.000 0.000 1
As2 As 0.070 0.500 0.760 1
Au1 Au 0.547 0.500 0.670 1
Cl1 Cl 0.405 0.000 0.231 1
# Formation energy without anion corrections in eV per atom: -0.123
# Uncorrected energy in eV/atom: -3.728

=====

# 2
# As2AuCl, optimized geometry, DFT PBE-GGA
data_As2AuCl
_chemical_formula_sum 'As2 Au1 Cl1'
_cell_length_a 3.572
_cell_length_b 3.572
_cell_length_c 6.855
_cell_angle_alpha 90.00
_cell_angle_beta 90.00
_cell_angle_gamma 90.00
_space_group_name_H-M_alt 'P 4 m m'
_space_group_IT_number 99
loop_
_space_group_symop_operation_xyz
'x,y,z'
'-y,x,z'
'-x,-y,z'
'y,-x,z'
'-x,y,z'
'y,x,z'
'x,-y,z'
'-y,-x,z'
loop_
_atom_site_label
_atom_site_type_symbol
_atom_site_fract_x
_atom_site_fract_y
_atom_site_fract_z
_atom_site_occupancy
As1 As 0.000 0.000 0.000 1
As2 As 0.500 0.500 0.141 1
Au1 Au 0.000 0.000 0.377 1
Cl1 Cl 0.500 0.500 0.611 1
# Formation energy without anion corrections in eV per atom: 0.163
# DOS at the Fermi energy in states/eV/f.u.: 1.538
# Uncorrected energy in eV/atom: -3.443

=====

# 3
# AsAuCl2, optimized geometry, DFT PBE-GGA
data_AsAuCl2
_chemical_formula_sum 'As2 Au2 Cl4'
_cell_length_a 3.241
_cell_length_b 5.592
_cell_length_c 9.621
_cell_angle_alpha 90.00
_cell_angle_beta 90.00
_cell_angle_gamma 90.00
_space_group_name_H-M_alt 'I m m m'
_space_group_IT_number 71
_space_group_name_Hall '-I 2 2'
loop_
_atom_site_label
_atom_site_type_symbol
_atom_site_fract_x
_atom_site_fract_y
_atom_site_fract_z
_atom_site_occupancy
As1 As 0.000 0.000 0.000 1
Au1 Au 0.000 0.000 0.500 1
Cl1 Cl 0.000 0.000 0.249 1
# Formation energy without anion corrections in eV per atom: 0.098
# DOS at the Fermi energy in states/eV/f.u.: 1.779
# Uncorrected energy in eV/atom: -2.807

=====

# 4
# AsAuCl2, optimized geometry, DFT PBE-GGA
data_AsAuCl2
_chemical_formula_sum 'As4 Au4 Cl8'
_cell_length_a 6.791
_cell_length_b 6.791
_cell_length_c 6.791
_cell_angle_alpha 90.00
_cell_angle_beta 90.00
_cell_angle_gamma 90.00
_space_group_name_H-M_alt 'F -4 3 m'
_space_group_IT_number 216
_space_group_name_Hall 'F -4 2 3'
loop_
_atom_site_label
_atom_site_type_symbol
_atom_site_fract_x
_atom_site_fract_y
_atom_site_fract_z
_atom_site_occupancy
As1 As 0.000 0.000 0.000 1
Au1 Au 0.250 0.250 0.250 1
Cl1 Cl 0.000 0.000 0.500 1
Cl2 Cl 0.250 0.250 0.750 1
# Formation energy without anion corrections in eV per atom: 0.378
# DOS at the Fermi energy in states/eV/f.u.: 0.201
# Uncorrected energy in eV/atom: -2.527

=====

# 5
# AsAuCl2, optimized geometry, DFT PBE-GGA
data_AsAuCl2
_chemical_formula_sum 'As2 Au2 Cl4'
_cell_length_a 7.272
_cell_length_b 7.376
_cell_length_c 3.049
_cell_angle_alpha 90.00
_cell_angle_beta 90.00
_cell_angle_gamma 90.00
_space_group_name_H-M_alt 'C m m m'
_space_group_IT_number 65
_space_group_name_Hall '-C 2 2'
loop_
_atom_site_label
_atom_site_type_symbol
_atom_site_fract_x
_atom_site_fract_y
_atom_site_fract_z
_atom_site_occupancy
As1 As 0.000 0.000 0.000 1
Au1 Au 0.000 0.500 0.000 1
Cl1 Cl 0.250 0.250 0.500 1
# Formation energy without anion corrections in eV per atom: 0.475
# DOS at the Fermi energy in states/eV/f.u.: 3.069
# Uncorrected energy in eV/atom: -2.430

=====

# 6
# AsAuCl2, optimized geometry, DFT PBE-GGA
data_AsAuCl2
_chemical_formula_sum 'As2 Au2 Cl4'
_cell_length_a 8.687
_cell_length_b 3.598
_cell_length_c 7.790
_cell_angle_alpha 90.00
_cell_angle_beta 100.34
_cell_angle_gamma 90.00
_space_group_name_H-M_alt 'C 1 m 1'
_space_group_IT_number 8
loop_
_space_group_symop_operation_xyz
'x,y,z'
'x,-y,z'
'x+1/2,y+1/2,z'
'x+1/2,-y+1/2,z'
loop_
_atom_site_label
_atom_site_type_symbol
_atom_site_fract_x
_atom_site_fract_y
_atom_site_fract_z
_atom_site_occupancy
As1 As 0.000 0.000 0.000 1
Au1 Au 0.345 0.000 0.825 1
Cl1 Cl 0.198 0.500 0.640 1
Cl2 Cl 0.385 0.500 0.230 1
# Formation energy without anion corrections in eV per atom: -0.366
# DOS at the Fermi energy in states/eV/f.u.: 0.000
# Uncorrected energy in eV/atom: -3.271